A plane-wave DFT calculation with PBE+U was carried out for crystalline YSn2WO at its relaxed geometry.

Values from the calculation:
- DOS at the Fermi energy: 2.298 states/eV/f.u.
- DFT total energy: -28.25 eV for the cell shown

Cell lengths 5.6925, 5.6925, 3.8017 Å; angles 90.00, 90.00, 90.00 degrees
Sites, in units of the cell vectors:
Y  0.0000  0.0000  0.0000
Sn  0.0000  0.5000  0.5000
Sn  0.5000  0.0000  0.5000
W  0.5000  0.5000  0.5000
O  0.5000  0.5000  0.0000